Entry 1:
Entry from Alexandria: a relaxed Pm3PuSi4 crystal (GGA-PBE).

Computed properties:
Its total energy is -53.82 eV per cell. The size of the total moment comes out at 6.1 μB per cell. The calculated density comes out at 6.37 g cm⁻³. The formation energy without anion corrections comes out at -0.443 eV/atom. As for the space group: Immm, No. 71.

Structure (POSCAR):
```
Pm3PuSi4
1.0
4.115 0.000 0.000
0.000 6.320 -0.738
-2.058 -2.246 8.195
Pm Pu Si
3 1 4
direct
0.000 0.500 0.000
0.192 0.192 0.384
0.808 0.808 0.616
0.500 0.000 0.000
0.370 0.554 0.740
0.630 0.446 0.260
0.630 0.814 0.260
0.370 0.186 0.740
```

***

Entry 2:
Entry from Alexandria: a relaxed Ce3NiC2N6 crystal (GGA-PBE).

Computed properties:
Its total energy is -98.82 eV per cell. The size of the total moment comes out at 2.7 μB per cell. The calculated density comes out at 6.45 g cm⁻³. The formation energy without anion corrections comes out at -0.570 eV/atom. As for the space group: P-3m1, No. 164.

Structure (POSCAR):
```
Ce3NiC2N6
1.0
5.318 0.000 0.000
-2.659 4.606 0.000
0.000 0.000 6.174
Ce Ni C N
3 1 2 6
direct
0.333 0.667 0.658
0.667 0.333 0.342
0.000 0.000 0.000
0.000 0.000 0.500
0.667 0.333 0.747
0.333 0.667 0.253
0.632 0.816 0.267
0.184 0.368 0.267
0.184 0.816 0.267
0.816 0.632 0.733
0.368 0.184 0.733
0.816 0.184 0.733
```

***

Entry 3:
Entry from Alexandria: a relaxed Li2LaTa crystal (GGA-PBE).

Computed properties:
As for the energy of formation: 174 kJ/mol of formula units. Its total energy is -18.80 eV per cell. The size of the total moment comes out at 0.0 μB per cell. The calculated density comes out at 6.27 g cm⁻³. As for the space group: C2/m, No. 12. Its excess energy over the best structure of this formula in the dataset is 42 kJ/mol of formula units.

Structure (POSCAR):
```
Li2LaTa
1.0
5.772 0.012 -0.003
4.951 2.968 -0.003
0.943 0.262 5.172
La Li Ta
1 2 1
direct
0.250 0.250 0.250
0.015 0.015 0.952
0.485 0.485 0.548
0.750 0.750 0.750
```

***

Entry 4:
Entry from Alexandria: a relaxed MgSnMoI2 crystal (GGA-PBE).

Computed properties:
Its total energy is -15.02 eV per cell. The size of the total moment comes out at 5.2 μB per cell. The calculated density comes out at 4.55 g cm⁻³. The formation energy without anion corrections comes out at 0.901 eV/atom. As for the space group: P4/mmm, No. 123.

Structure (POSCAR):
```
MgSnMoI2
1.0
-3.478 -2.445 3.748
2.851 -4.800 -0.485
3.422 1.606 4.223
I Mo Mg Sn
2 1 1 1
direct
0.000 0.000 0.500
0.500 0.000 0.000
0.500 0.500 0.500
0.000 0.000 0.000
0.000 0.500 0.000
```

***

no.,density of states at the Fermi level (states/eV/cell)
1,11.9
2,13.3
3,4.1
4,6.4